Record 1
Density functional theory data (PBE-GGA) for a geometry-optimized Cs3Nd2BiSe6 structure.

Calculated values
- formation energy (no corrections) (eV per atom) = -1.41
- space-group type = C2/m (12)
- E (eV/atom) = -4.49

Structure (POSCAR):
```
Cs3Nd2BiSe6
1.0
3.8130 -6.6043 0.0000
3.8130 6.6043 0.0000
-2.5422 0.0000 8.3923
Cs Nd Bi Se
3 2 1 6
direct
0.0000 0.0000 0.0000 Cs
0.3337 0.6663 0.0000 Cs
0.6663 0.3337 0.0000 Cs
0.1667 0.8333 0.5000 Nd
0.8333 0.1667 0.5000 Nd
0.5000 0.5000 0.5000 Bi
0.1029 0.4364 0.3091 Se
0.2302 0.2302 0.6910 Se
0.4364 0.1029 0.3091 Se
0.5636 0.8971 0.6909 Se
0.7698 0.7698 0.3090 Se
0.8971 0.5636 0.6909 Se
```



Record 2
Density functional theory data (PBE-GGA) for a geometry-optimized MnTc2Mo2 structure.

Calculated values
- polymorph energy (0 for the lowest one) (kJ per mole of atoms) = 40.7
- space-group type = I4/mmm (139)
- DFT formation energy (eV per formula unit) = 4.19
- E (eV/atom) = -9.48

Structure (POSCAR):
```
MnTc2Mo2
1.0
-1.7031 1.7031 6.9224
1.7031 -1.7031 6.9224
1.7031 1.7031 -6.9224
Mn Tc Mo
1 2 2
direct
0.0000 0.0000 0.0000 Mn
0.2500 0.7500 0.5000 Tc
0.7500 0.2500 0.5000 Tc
0.4123 0.4123 0.0000 Mo
0.5877 0.5877 0.0000 Mo
```



Record 3
Density functional theory data (PBE-GGA) for a geometry-optimized AcTmPb2 structure.

Calculated values
- space-group type = Amm2 (38)
- DFT formation energy (eV per formula unit) = -1.21
- E (eV/atom) = -4.30

Structure (POSCAR):
```
AcTmPb2
1.0
3.6894 0.0000 0.0000
0.0000 3.6049 5.0734
0.0000 -3.6049 5.0734
Ac Tm Pb
1 1 2
direct
0.0000 0.0000 0.0000 Ac
0.5000 0.5193 0.5193 Tm
0.5000 0.0245 0.4957 Pb
0.5000 0.4957 0.0245 Pb
```